{
  "formula": "Ca2Tb2Pd15",
  "functional": "GGA-PBE",
  "state": "optimized geometry",
  "lattice_angstrom": [[-6.303, -0.171, 3.322], [0.923, -5.976, 3.772], [1.960, 2.920, 6.199]],
  "species": ["Pd", "Pd", "Pd", "Pd", "Pd", "Pd", "Pd", "Pd", "Pd", "Pd", "Pd", "Pd", "Pd", "Pd", "Pd", "Ca", "Ca", "Tb", "Tb"],
  "frac_coords": [[0.698, 0.000, 0.302], [0.350, 0.350, 0.842], [0.000, 0.302, 0.698], [0.650, 0.158, 0.650], [0.350, 0.842, 0.350], [0.500, 0.000, 0.000], [0.000, 0.698, 0.302], [0.000, 0.000, 0.500], [0.698, 0.302, 0.000], [0.302, 0.698, 0.000], [0.302, 0.000, 0.698], [0.650, 0.650, 0.158], [0.000, 0.500, 0.000], [0.842, 0.350, 0.350], [0.158, 0.650, 0.650], [0.364, 0.364, 0.364], [0.636, 0.636, 0.636], [0.889, 0.889, 0.889], [0.111, 0.111, 0.111]],
  "magnetic_moment_mub_per_fu": 0.00,
  "mass_density_kg_m3": 9448,
  "space_group": "R-3m",
  "crystal_system": "trigonal",
  "delta_e_f_ev_per_fu": -9.40
}

{
  "formula": "CaTb3Pd",
  "functional": "GGA-PBE",
  "state": "optimized geometry",
  "lattice_angstrom": [[-1.122, 4.776, -2.591], [-1.192, -2.798, -4.641], [-5.302, -0.382, 1.592]],
  "species": ["Ca", "Tb", "Tb", "Tb", "Pd"],
  "frac_coords": [[0.500, 0.500, 0.500], [0.000, 0.500, 0.000], [0.000, 0.000, 0.500], [0.500, 0.000, 0.000], [0.000, 0.000, 0.000]],
  "magnetic_moment_mub_per_fu": 0.54,
  "mass_density_kg_m3": 6059,
  "space_group": "Pm-3m",
  "crystal_system": "cubic",
  "delta_e_f_ev_per_fu": -0.80
}

{
  "formula": "CaTb3Pd2",
  "functional": "GGA-PBE",
  "state": "optimized geometry",
  "lattice_angstrom": [[3.989, 0.000, 0.000], [0.000, 8.226, 0.000], [0.000, 0.000, 9.664]],
  "species": ["Pd", "Pd", "Pd", "Pd", "Tb", "Tb", "Tb", "Tb", "Tb", "Tb", "Ca", "Ca"],
  "frac_coords": [[0.500, 0.267, 0.101], [0.000, 0.218, 0.595], [0.500, 0.767, 0.899], [0.000, 0.718, 0.405], [0.500, 0.667, 0.198], [0.500, 0.167, 0.802], [0.000, 0.990, 0.061], [0.000, 0.490, 0.939], [0.000, 0.346, 0.300], [0.000, 0.846, 0.700], [0.500, 0.012, 0.420], [0.500, 0.512, 0.580]],
  "magnetic_moment_mub_per_fu": 0.00,
  "mass_density_kg_m3": 7641,
  "space_group": "Pmc2_1",
  "crystal_system": "orthorhombic",
  "delta_e_f_ev_per_fu": -3.39
}

{
  "formula": "Ca3TbPd8",
  "functional": "GGA-PBE",
  "state": "optimized geometry",
  "lattice_angstrom": [[5.248, 0.000, 1.584], [2.385, 4.675, 1.584], [0.016, 0.010, 9.432]],
  "species": ["Ca", "Ca", "Ca", "Pd", "Pd", "Pd", "Pd", "Pd", "Pd", "Pd", "Pd", "Tb"],
  "frac_coords": [[0.002, 0.002, 0.994], [0.374, 0.374, 0.878], [0.498, 0.498, 0.506], [0.938, 0.441, 0.684], [0.687, 0.687, 0.938], [0.938, 0.938, 0.684], [0.441, 0.938, 0.684], [0.934, 0.437, 0.191], [0.188, 0.188, 0.437], [0.437, 0.934, 0.191], [0.437, 0.437, 0.191], [0.876, 0.876, 0.373]],
  "magnetic_moment_mub_per_fu": 0.00,
  "mass_density_kg_m3": 8118,
  "space_group": "R3m",
  "crystal_system": "trigonal",
  "delta_e_f_ev_per_fu": -8.63
}